Entry 1:
{
  "formula": "LaTe2Rh",
  "functional": "GGA-PBE",
  "state": "optimized geometry",
  "cell": [[5.040, 0.000, 0.000], [0.000, 5.040, 0.000], [0.000, 0.000, 3.892]],
  "species": ["La", "Te", "Te", "Rh"],
  "frac_coords": [[0.000, 0.000, 0.000], [0.000, 0.500, 0.500], [0.500, 0.000, 0.500], [0.500, 0.500, 0.000]],
  "e_above_lowest_polymorph_kcal_per_mol_atoms": 6.27,
  "magnetic_moment_mub_per_atom": 0.0000,
  "raw_formation_energy_ev_per_atom": -0.71,
  "dos_ef_per_ev_atom": 0.7239,
  "e_tot_ev_per_atom": -5.35
}

Entry 2:
{
  "formula": "LaTeRh2",
  "functional": "GGA-PBE",
  "state": "optimized geometry",
  "cell": [[6.894, 0.000, 0.000], [0.000, 6.894, 0.000], [0.000, 0.000, 6.894]],
  "species": ["La", "La", "La", "La", "Te", "Te", "Te", "Te", "Rh", "Rh", "Rh", "Rh", "Rh", "Rh", "Rh", "Rh"],
  "frac_coords": [[0.000, 0.000, 0.000], [0.000, 0.500, 0.500], [0.500, 0.000, 0.500], [0.500, 0.500, 0.000], [0.000, 0.000, 0.500], [0.000, 0.500, 0.000], [0.500, 0.000, 0.000], [0.500, 0.500, 0.500], [0.250, 0.250, 0.250], [0.250, 0.250, 0.750], [0.250, 0.750, 0.250], [0.250, 0.750, 0.750], [0.750, 0.250, 0.250], [0.750, 0.250, 0.750], [0.750, 0.750, 0.250], [0.750, 0.750, 0.750]],
  "e_above_lowest_polymorph_kcal_per_mol_atoms": 4.40,
  "magnetic_moment_mub_per_atom": 0.0000,
  "raw_formation_energy_ev_per_atom": -0.51,
  "dos_ef_per_ev_atom": 1.1905,
  "e_tot_ev_per_atom": -6.20
}

Entry 3:
{
  "formula": "La4TeRh",
  "functional": "GGA-PBE",
  "state": "optimized geometry",
  "cell": [[0.000, 4.449, 4.449], [4.449, 0.000, 4.449], [4.449, 4.449, 0.000]],
  "species": ["La", "La", "La", "La", "Te", "Rh"],
  "frac_coords": [[0.125, 0.125, 0.125], [0.125, 0.125, 0.625], [0.125, 0.625, 0.125], [0.625, 0.125, 0.125], [0.500, 0.500, 0.500], [0.750, 0.750, 0.750]],
  "e_above_lowest_polymorph_kcal_per_mol_atoms": 19.80,
  "magnetic_moment_mub_per_atom": 0.0009,
  "raw_formation_energy_ev_per_atom": 0.14,
  "dos_ef_per_ev_atom": 1.4842,
  "e_tot_ev_per_atom": -4.90
}

Entry 4:
{
  "formula": "La3Te2Rh",
  "functional": "GGA-PBE",
  "state": "optimized geometry",
  "cell": [[4.532, 0.000, 0.000], [0.000, 4.532, 0.000], [0.000, 0.000, 18.770]],
  "species": ["La", "La", "La", "La", "La", "La", "Te", "Te", "Te", "Te", "Rh", "Rh"],
  "frac_coords": [[0.000, 0.000, 0.000], [0.000, 0.000, 0.356], [0.000, 0.000, 0.644], [0.500, 0.500, 0.144], [0.500, 0.500, 0.500], [0.500, 0.500, 0.856], [0.000, 0.000, 0.174], [0.000, 0.000, 0.826], [0.500, 0.500, 0.326], [0.500, 0.500, 0.674], [0.000, 0.000, 0.500], [0.500, 0.500, 0.000]],
  "magnetic_moment_mub_per_atom": 0.0000,
  "raw_formation_energy_ev_per_atom": -1.26,
  "dos_ef_per_ev_atom": 0.6953,
  "e_tot_ev_per_atom": -6.00
}

Entry 5:
{
  "formula": "LaTeRh2",
  "functional": "GGA-PBE",
  "state": "optimized geometry",
  "cell": [[4.633, 0.000, 0.000], [0.000, 4.633, 0.000], [0.000, 0.000, 3.829]],
  "species": ["La", "Te", "Rh", "Rh"],
  "frac_coords": [[0.000, 0.000, 0.000], [0.500, 0.500, 0.000], [0.000, 0.500, 0.500], [0.500, 0.000, 0.500]],
  "e_above_lowest_polymorph_kcal_per_mol_atoms": 3.54,
  "magnetic_moment_mub_per_atom": 0.0000,
  "raw_formation_energy_ev_per_atom": -0.55,
  "dos_ef_per_ev_atom": 0.8357,
  "e_tot_ev_per_atom": -6.24
}

Entry 6:
{
  "formula": "La2TeRh",
  "functional": "GGA-PBE",
  "state": "optimized geometry",
  "cell": [[3.819, 0.000, 0.000], [0.000, 3.792, 0.000], [-1.045, 0.000, 7.630]],
  "species": ["La", "La", "Te", "Rh"],
  "frac_coords": [[0.078, 0.000, 0.275], [0.922, 0.000, 0.725], [0.500, 0.500, 0.000], [0.500, 0.500, 0.500]],
  "e_above_lowest_polymorph_kcal_per_mol_atoms": 3.15,
  "magnetic_moment_mub_per_atom": 0.0000,
  "raw_formation_energy_ev_per_atom": -1.01,
  "dos_ef_per_ev_atom": 0.4827,
  "e_tot_ev_per_atom": -6.09
}

Entry 7:
{
  "formula": "LaTe2Rh",
  "functional": "GGA-PBE",
  "state": "optimized geometry",
  "cell": [[6.197, 0.000, 0.000], [0.000, 6.197, 0.000], [0.000, 0.000, 5.915]],
  "species": ["La", "La", "Te", "Te", "Te", "Te", "Rh", "Rh"],
  "frac_coords": [[0.000, 0.000, 0.000], [0.500, 0.500, 0.500], [0.000, 0.500, 0.000], [0.000, 0.500, 0.500], [0.500, 0.000, 0.000], [0.500, 0.000, 0.500], [0.000, 0.000, 0.500], [0.500, 0.500, 0.000]],
  "e_above_lowest_polymorph_kcal_per_mol_atoms": 10.32,
  "magnetic_moment_mub_per_atom": 0.0000,
  "raw_formation_energy_ev_per_atom": -0.53,
  "dos_ef_per_ev_atom": 0.2338,
  "e_tot_ev_per_atom": -5.17
}

Entry 8:
{
  "formula": "La5Te4Rh",
  "functional": "GGA-PBE",
  "state": "optimized geometry",
  "cell": [[-2.271, 2.271, 15.900], [2.271, -2.271, 15.900], [2.271, 2.271, -15.900]],
  "species": ["La", "La", "La", "La", "La", "Te", "Te", "Te", "Te", "Rh"],
  "frac_coords": [[0.000, 0.000, 0.000], [0.205, 0.205, 0.000], [0.415, 0.415, 0.000], [0.585, 0.585, 0.000], [0.795, 0.795, 0.000], [0.102, 0.102, 0.000], [0.308, 0.308, 0.000], [0.692, 0.692, 0.000], [0.898, 0.898, 0.000], [0.500, 0.500, 0.000]],
  "magnetic_moment_mub_per_atom": 0.0000,
  "raw_formation_energy_ev_per_atom": -1.39,
  "dos_ef_per_ev_atom": 0.6131,
  "e_tot_ev_per_atom": -5.85
}